# Re2WBr

Crystalline Re2WBr at its relaxed geometry (PBE, Alexandria).

Cell: 5.246 5.246 4.491 Å, 86.46 86.46 32.69°
Positions (direct):
W  0.750  0.750  0.750
Re  0.034  0.034  0.968
Re  0.466  0.466  0.532
Br  0.250  0.250  0.250

Results
DOS at the Fermi energy ... 0.73 states/eV/atom
Excess energy over the best structure of this formula in the dataset ... 0.313 eV per atom
Uncorrected formation energy ... 925 meV per atom